CsCrAsF6 after structural relaxation, computed with PBE with a Hubbard U.

```
CsCrAsF6
1.0
5.688 0.000 0.000
-2.413 5.189 0.000
-0.031 -0.161 6.224
Cs Cr As F
1 1 1 6
direct
0.000 0.000 0.000
0.332 0.676 0.514
0.687 0.332 0.508
0.040 0.670 0.333
0.066 0.451 0.720
0.406 0.325 0.343
0.481 0.110 0.716
0.604 0.961 0.344
0.632 0.609 0.665
```

The calculation puts the raw total energy at -46.087 eV/cell.